A plane-wave DFT calculation with GGA-PBE was carried out for a relaxed YTmCdAg crystal.

Structure (POSCAR):
```
YTmCdAg
1.0
3.6750 0.0000 0.0000
0.0000 3.6750 0.0000
0.0000 0.0000 7.3160
Y Tm Ag Cd
1 1 1 1
Direct
0.5000 0.5000 0.6000
0.5000 0.5000 0.1165
0.0000 0.0000 0.3472
0.0000 0.0000 0.8643
```

Computed properties:
ΔH_f (0 K), eV per atom: -0.33
Calculated density, g/cm³: 8.04
Space-group type: P4mm, No. 99
Distance to the lowest polymorph of the same formula, eV per atom: 0.000



A plane-wave DFT calculation with GGA-PBE was carried out for a relaxed Cd3CuAu crystal.

Structure (POSCAR):
```
Cd3CuAu
1.0
5.7707 0.0000 0.0000
0.0000 8.9635 -0.5470
0.0000 -4.0596 7.9470
Cu Cd Au
4 12 4
Direct
0.2716 0.0000 0.5000
0.7284 0.0000 0.5000
0.7716 0.5000 0.5000
0.2284 0.5000 0.5000
0.5000 0.2064 0.3978
0.0002 0.3192 0.1847
0.9999 0.9092 0.2166
0.5001 0.4092 0.2166
0.0000 0.2936 0.6022
0.4999 0.5908 0.7834
0.9998 0.6808 0.8153
0.4998 0.8192 0.1847
0.0000 0.7064 0.3978
0.5000 0.7936 0.6022
0.0001 0.0908 0.7834
0.5002 0.1808 0.8153
0.7386 0.0002 0.0000
0.2614 0.9998 0.0000
0.7614 0.5002 0.0000
0.2386 0.4998 0.0000
```

Computed properties:
ΔH_f (0 K), eV per atom: -0.03
Calculated density, g/cm³: 9.97
Space-group type: C2/m, No. 12
Distance to the lowest polymorph of the same formula, eV per atom: 0.007



A plane-wave DFT calculation with GGA-PBE was carried out for a relaxed LaCu2Br crystal.

Structure (POSCAR):
```
LaCu2Br
1.0
0.0000 3.5447 3.5447
3.5447 0.0000 3.5447
3.5447 3.5447 0.0000
Cu Br La
2 1 1
Direct
0.7500 0.7500 0.7500
0.2500 0.2500 0.2500
0.0000 0.0000 0.0000
0.5000 0.5000 0.5000
```

Computed properties:
Raw formation energy, eV/f.u.: -0.2
Calculated density, g/cm³: 6.45
Space-group type: Fm-3m, No. 225
Distance to the lowest polymorph of the same formula, eV per atom: 0.447



| no. | energy (eV per formula unit) |
| --- | --- |
| 1 | -16.0 |
| 2 | -10.3 |
| 3 | -15.0 |